An optimized crystal structure of Ac3PrCd4. Source: the Alexandria database, functional PBE.

Lattice parameters (Å, degrees): 4.032 4.032 16.105 90.00 90.00 90.00
Sites, in units of the cell vectors:
Ac  0.000  0.000  0.000
Ac  0.000  0.000  0.257
Ac  0.000  0.000  0.743
Pr  0.000  0.000  0.500
Cd  0.500  0.500  0.128
Cd  0.500  0.500  0.389
Cd  0.500  0.500  0.611
Cd  0.500  0.500  0.872

Summary:
**Formation energy**: -2.4 eV per formula unit
**Total moment**: 0.01 μB/atom
**Uncorrected energy**: -2.890 eV/atom

---

An optimized crystal structure of InSiOs2. Source: the Alexandria database, functional PBE.

Lattice parameters (Å, degrees): 5.223 5.223 5.223 147.63 123.87 66.30
Sites, in units of the cell vectors:
In  0.000  0.000  0.000
Si  0.500  0.500  0.000
Os  0.281  0.781  0.500
Os  0.719  0.219  0.500

Summary:
**Uncorrected formation energy**: 0.29 eV per atom
**Total moment**: 0.00 μB/atom
**Uncorrected energy**: -7.362 eV/atom

---

An optimized crystal structure of Tb2CuSi2Ni5. Source: the Alexandria database, functional PBE.

Lattice parameters (Å, degrees): 9.760 9.760 3.072 90.00 90.00 90.00
Sites, in units of the cell vectors:
Tb  0.176  0.324  0.000
Tb  0.324  0.824  0.000
Tb  0.676  0.176  0.000
Tb  0.824  0.676  0.000
Cu  0.000  0.000  0.000
Cu  0.500  0.500  0.000
Si  0.125  0.625  0.000
Si  0.375  0.125  0.000
Si  0.625  0.875  0.000
Si  0.875  0.375  0.000
Ni  0.000  0.500  0.500
Ni  0.055  0.796  0.500
Ni  0.204  0.055  0.500
Ni  0.296  0.555  0.500
Ni  0.445  0.296  0.500
Ni  0.500  0.000  0.500
Ni  0.555  0.704  0.500
Ni  0.704  0.445  0.500
Ni  0.796  0.945  0.500
Ni  0.945  0.204  0.500

Summary:
**Uncorrected formation energy**: -0.36 eV per atom
**Total moment**: 0.00 μB/atom
**Uncorrected energy**: -5.667 eV/atom

---

An optimized crystal structure of YInTc2. Source: the Alexandria database, functional PBE.

Lattice parameters (Å, degrees): 4.748 4.748 4.748 120.19 120.19 89.67
Sites, in units of the cell vectors:
Y  0.000  0.000  0.000
In  0.250  0.750  0.500
Tc  0.500  0.500  0.000
Tc  0.750  0.250  0.500

Summary:
**Formation energy**: 1.0 eV per formula unit
**Total moment**: 0.00 μB/atom
**Uncorrected energy**: -7.245 eV/atom